No. 1
DFT (PBE) results for a geometry-optimized Eu2ScTl structure.

Lattice parameters (Å, degrees): 3.532 3.532 12.061 81.58 81.58 60.00
Fractional positions:
Tl (0.500, 0.500, 0.500)
Sc (0.000, 0.000, 0.000)
Eu (0.910, 0.910, 0.270)
Eu (0.090, 0.090, 0.730)

## Properties
Calculated total energy = -28.59 eV per cell
Spin magnetization = 14.9 μB per formula unit
Energy relative to the elements = 165 meV per atom

=====

No. 2
DFT (PBE) results for a geometry-optimized ErZrTi structure.

Lattice parameters (Å, degrees): 3.184 4.988 4.988 120.00 90.00 90.00
Fractional positions:
Er (0.167, 0.000, 0.000)
Zr (0.667, 0.667, 0.333)
Ti (0.167, 0.333, 0.667)

## Properties
Calculated total energy = -20.47 eV per cell
Spin magnetization = 0.0 μB per formula unit
Energy relative to the elements = 179 meV per atom

=====

No. 3
DFT (PBE) results for a geometry-optimized La2TaMo structure.

Lattice parameters (Å, degrees): 6.614 6.614 6.614 148.96 139.20 52.14
Fractional positions:
La (0.951, 0.951, 0.000)
La (0.549, 0.549, 0.000)
Mo (0.750, 0.250, 0.500)
Ta (0.250, 0.750, 0.500)

## Properties
Calculated total energy = -30.13 eV per cell
Spin magnetization = 0.0 μB per formula unit
Energy relative to the elements = 603 meV per atom

=====

No. 4
DFT (PBE) results for a geometry-optimized KVTeN2 structure.

Lattice parameters (Å, degrees): 4.694 4.694 7.160 90.00 90.00 90.00
Fractional positions:
V (0.500, 0.500, 0.500)
N (0.500, 0.000, 0.000)
N (0.000, 0.500, 0.000)
K (0.000, 0.000, 0.000)
Te (0.000, 0.000, 0.500)

## Properties
Formation energy without anion corrections = 2.291 eV per atom
Calculated total energy = -18.56 eV per cell
Spin magnetization = 8.4 μB per formula unit

=====

N(E_F) readings, ordered: 1.370; 1.551; 0.983; 1.451 states/eV/atom